(1)
A relaxed structure of YPa2AlN5, computed with PBE-GGA.

Calculated values
The space group is Cmc2_1. Its calculated density is 8460 kg/m3. For the density of states at the Fermi level, the calculation gives 7.18 states/eV per cell. The formation energy without anion corrections comes out at -1.423 eV/atom. Its spin magnetization is 0.11 μB/f.u. The value obtained for the total energy is -9.29 eV/atom. The volume is 127.2 Å³/f.u.

a b c (Å): 7.029 7.029 10.856
angles (deg): 90.00 90.00 151.69
Positions (direct):
1 Y 0.215 0.785 0.500
2 Y 0.785 0.215 0.000
3 Pa 0.124 0.876 0.766
4 Pa 0.137 0.863 0.215
5 Pa 0.863 0.137 0.715
6 Pa 0.876 0.124 0.266
7 Al 0.497 0.503 0.506
8 Al 0.503 0.497 0.006
9 N 0.046 0.954 0.568
10 N 0.289 0.711 0.843
11 N 0.294 0.706 0.161
12 N 0.371 0.629 0.581
13 N 0.476 0.524 0.328
14 N 0.524 0.476 0.828
15 N 0.629 0.371 0.081
16 N 0.706 0.294 0.661
17 N 0.711 0.289 0.343
18 N 0.954 0.046 0.068

(2)
A relaxed structure of LiWCl6, computed with PBE-GGA.

Calculated values
The space group is R-3. Its calculated density is 3386 kg/m3. For the density of states at the Fermi level, the calculation gives 5.53 states/eV per cell. The formation energy without anion corrections comes out at -1.035 eV/atom. Its spin magnetization is 1.00 μB/f.u. The calculation puts the energy above the lowest structure with this stoichiometry at 0.042 eV/atom. The value obtained for the total energy is -4.28 eV/atom. The volume is 197.9 Å³/f.u.

a b c (Å): 6.753 6.753 6.753
angles (deg): 56.07 56.07 56.07
Positions (direct):
1 Li 0.000 0.000 0.000
2 W 0.500 0.500 0.500
3 Cl 0.124 0.729 0.409
4 Cl 0.271 0.591 0.876
5 Cl 0.409 0.124 0.729
6 Cl 0.591 0.876 0.271
7 Cl 0.729 0.409 0.124
8 Cl 0.876 0.271 0.591

(3)
A relaxed structure of PmTlCdIr, computed with PBE-GGA.

Calculated values
The space group is F-43m. Its calculated density is 12060 kg/m3. For the density of states at the Fermi level, the calculation gives 15.15 states/eV per cell. Its spin magnetization is 0.00 μB/f.u. The value obtained for the total energy is -4.33 eV/atom. The volume is 90.0 Å³/f.u.

a b c (Å): 7.115 7.115 7.115
angles (deg): 90.00 90.00 90.00
Positions (direct):
1 Pm 0.000 0.000 0.000
2 Pm 0.000 0.500 0.500
3 Pm 0.500 0.000 0.500
4 Pm 0.500 0.500 0.000
5 Tl 0.250 0.250 0.750
6 Tl 0.250 0.750 0.250
7 Tl 0.750 0.250 0.250
8 Tl 0.750 0.750 0.750
9 Cd 0.000 0.000 0.500
10 Cd 0.000 0.500 0.000
11 Cd 0.500 0.000 0.000
12 Cd 0.500 0.500 0.500
13 Ir 0.250 0.250 0.250
14 Ir 0.250 0.750 0.750
15 Ir 0.750 0.250 0.750
16 Ir 0.750 0.750 0.250